# MgScV2F

An optimized crystal structure of MgScV2F (PBE with a Hubbard U, Alexandria).

The total energy is -0.1830 Ha/atom.

The structure belongs to space group P4/mmm (No. 123); the cell edges are 4.4971, 4.4971 and 4.5655 Å and the angles 90.00°, 90.00° and 90.00°. The distinct sites, in fractional coordinates, are Mg at (0.0000, 0.0000, 0.0000), Sc at (0.5000, 0.5000, 0.0000), V at (0.0000, 0.5000, 0.5000) and F at (0.5000, 0.5000, 0.5000).